(1)
Below is a relaxed CsK2HgF6 crystal, with properties calculated at the GGA-PBE level. Values from VASP.

## Properties
Crystal system: monoclinic
Formation energy from raw total energies: -2.15 eV per atom
Space-group type: P2_1/c

Geometry as Quantum ESPRESSO input:
```
&SYSTEM
  ibrav = 0, nat = 20, ntyp = 4
/
ATOMIC_SPECIES
Cs 132.91 Cs.upf
K 39.10 K.upf
Hg 200.59 Hg.upf
F 19.00 F.upf
ATOMIC_POSITIONS crystal
Cs 0.000 0.000 0.000
Cs 0.000 0.500 0.500
K 0.214 0.033 0.724
K 0.214 0.467 0.224
K 0.786 0.533 0.776
K 0.786 0.967 0.276
Hg 0.500 0.000 0.500
Hg 0.500 0.500 0.000
F 0.191 0.151 0.480
F 0.191 0.349 0.980
F 0.218 0.743 0.879
F 0.218 0.757 0.379
F 0.429 0.123 0.299
F 0.429 0.377 0.799
F 0.571 0.623 0.201
F 0.571 0.877 0.701
F 0.782 0.243 0.621
F 0.782 0.257 0.121
F 0.809 0.651 0.020
F 0.809 0.849 0.520
CELL_PARAMETERS angstrom
6.514 0.000 0.000
0.000 7.025 0.000
-6.277 0.000 9.386
```

=====

(2)
Below is a relaxed Nd6Sn2C crystal, with properties calculated at the GGA-PBE level. Values from VASP.

## Properties
Crystal system: orthorhombic
Space-group type: Amm2
ΔH_f (0 K): -271 meV per atom
Relative energy among the computed polymorphs: 146.1 kJ/mol of formula units

Geometry as Quantum ESPRESSO input:
```
&SYSTEM
  ibrav = 0, nat = 9, ntyp = 3
/
ATOMIC_SPECIES
Nd 144.24 Nd.upf
Sn 118.71 Sn.upf
C 12.01 C.upf
ATOMIC_POSITIONS crystal
Nd 0.000 0.000 0.000
Nd 0.000 0.557 0.778
Nd 0.000 0.778 0.557
Nd 0.500 0.188 0.778
Nd 0.500 0.367 0.367
Nd 0.500 0.778 0.188
Sn 0.000 0.111 0.445
Sn 0.000 0.445 0.111
C 0.500 0.779 0.779
CELL_PARAMETERS angstrom
3.870 0.000 0.000
0.000 7.563 4.370
0.000 -7.563 4.370
```

=====

(3)
Below is a relaxed BaSmAlHg crystal, with properties calculated at the GGA-PBE level. Values from VASP.

## Properties
Crystal system: cubic
Space-group type: F-43m
ΔH_f (0 K): -210 meV per atom

Geometry as Quantum ESPRESSO input:
```
&SYSTEM
  ibrav = 0, nat = 16, ntyp = 4
/
ATOMIC_SPECIES
Ba 137.33 Ba.upf
Sm 150.36 Sm.upf
Al 26.98 Al.upf
Hg 200.59 Hg.upf
ATOMIC_POSITIONS crystal
Ba 0.000 0.000 0.000
Ba 0.000 0.500 0.500
Ba 0.500 0.000 0.500
Ba 0.500 0.500 0.000
Sm 0.000 0.000 0.500
Sm 0.000 0.500 0.000
Sm 0.500 0.000 0.000
Sm 0.500 0.500 0.500
Al 0.250 0.250 0.750
Al 0.250 0.750 0.250
Al 0.750 0.250 0.250
Al 0.750 0.750 0.750
Hg 0.250 0.250 0.250
Hg 0.250 0.750 0.750
Hg 0.750 0.250 0.750
Hg 0.750 0.750 0.250
CELL_PARAMETERS angstrom
7.937 0.000 0.000
0.000 7.937 0.000
0.000 0.000 7.937
```

=====

(4)
Below is a relaxed TaCo2Mo2 crystal, with properties calculated at the GGA-PBE level. Values from VASP.

## Properties
Crystal system: tetragonal
Space-group type: P4/mbm
ΔH_f (0 K): 75 meV per atom
Relative energy among the computed polymorphs: 0.0 kJ/mol of formula units

Geometry as Quantum ESPRESSO input:
```
&SYSTEM
  ibrav = 0, nat = 10, ntyp = 3
/
ATOMIC_SPECIES
Ta 180.95 Ta.upf
Co 58.93 Co.upf
Mo 95.94 Mo.upf
ATOMIC_POSITIONS crystal
Ta 0.000 0.000 0.000
Ta 0.500 0.500 0.000
Co 0.123 0.377 0.000
Co 0.377 0.877 0.000
Co 0.623 0.123 0.000
Co 0.877 0.623 0.000
Mo 0.172 0.672 0.500
Mo 0.328 0.172 0.500
Mo 0.672 0.828 0.500
Mo 0.828 0.328 0.500
CELL_PARAMETERS angstrom
7.238 0.000 0.000
0.000 7.238 0.000
0.000 0.000 2.713
```

=====

Across the entries above, uncorrected energy takes the values -3.608, -5.364, -2.882, -9.471 eV/atom, respectively.